A plane-wave DFT calculation with meta-GGA SCAN was carried out for a PBEsol-optimized structure of CuMoSe2N.

Lattice parameters (Å, degrees): 4.8263 4.8263 3.4688 90.00 90.00 90.00
Closest atoms and distances in Å follow each position.
Element x y z (fractional)
Cu1 0.0000 0.0000 0.0000  2 N 1.73
Mo1 0.5000 0.5000 0.5000  8 Se 2.97
Se1 0.0000 0.5000 0.0000  2 Cu 2.41
Se2 0.5000 0.0000 0.0000  2 Cu 2.41
N1 0.0000 0.0000 0.5000  2 Cu 1.73

Calculated values
ρ, g/cm³: 6.81
Total magnetic moment, μB per cell: 5.0
Total energy, eV per atom: -18.9540
Formation energy (no corrections), eV per atom: 0.953

A plane-wave DFT calculation with meta-GGA SCAN was carried out for a PBEsol-optimized structure of Cu2SnMoN.

Lattice parameters (Å, degrees): 4.7333 4.7333 3.9925 90.00 90.00 90.00
Closest atoms and distances in Å follow each position.
Element x y z (fractional)
Cu1 0.0000 0.5000 0.0000  2 Sn 2.37
Cu2 0.5000 0.0000 0.0000  2 Sn 2.37
Sn1 0.0000 0.0000 0.0000  2 N 2.00
Mo1 0.5000 0.5000 0.5000  8 Cu 3.10, 4 N 3.35
N1 0.0000 0.0000 0.5000  2 Sn 2.00

Calculated values
ρ, g/cm³: 6.60
Total magnetic moment, μB per cell: 3.4
Total energy, eV per atom: -20.3585
Formation energy (no corrections), eV per atom: 1.741

A plane-wave DFT calculation with meta-GGA SCAN was carried out for a PBEsol-optimized structure of CuTeMoN2.

Lattice parameters (Å, degrees): 3.8230 3.8230 5.6526 90.00 90.00 90.00
Closest atoms and distances in Å follow each position.
Element x y z (fractional)
Cu1 0.0000 0.0000 0.0000  4 Te 2.70
Te1 0.5000 0.5000 0.0000  4 Cu 2.70, 2 Mo 2.83
Mo1 0.5000 0.5000 0.5000  4 N 1.91
N1 0.0000 0.5000 0.5000  2 Mo 1.91
N2 0.5000 0.0000 0.5000  2 Mo 1.91

Calculated values
ρ, g/cm³: 6.33
Total magnetic moment, μB per cell: 0.0
Total energy, eV per atom: -20.7008
Formation energy (no corrections), eV per atom: 0.483

A plane-wave DFT calculation with meta-GGA SCAN was carried out for a PBEsol-optimized structure of Na2CuMo.

Lattice parameters (Å, degrees): 4.8629 4.8629 4.8629 60.00 60.00 60.00
Closest atoms and distances in Å follow each position.
Element x y z (fractional)
Na1 0.2500 0.2500 0.2500  4 Mo 2.98, 4 Cu 2.98
Na2 0.7500 0.7500 0.7500  4 Mo 2.98, 4 Cu 2.98
Cu1 0.0000 0.0000 0.0000  8 Na 2.98
Mo1 0.5000 0.5000 0.5000  8 Na 2.98

Calculated values
Calculated formation energy, meV/atom: 1197
ρ, g/cm³: 4.20
Total magnetic moment, μB per cell: 4.6
Total energy, eV per atom: -13.4312

A plane-wave DFT calculation with meta-GGA SCAN was carried out for a PBEsol-optimized structure of NaCuMoO2.

Lattice parameters (Å, degrees): 3.9672 3.9672 4.7088 90.00 90.00 90.00
Closest atoms and distances in Å follow each position.
Element x y z (fractional)
Na1 0.0000 0.0000 0.0000  4 O 1.98
Cu1 0.5000 0.5000 0.5000  4 Mo 2.81, 8 O 3.08
Mo1 0.0000 0.0000 0.5000  2 Na 2.35
O1 0.0000 0.5000 0.0000  2 Na 1.98
O2 0.5000 0.0000 0.0000  2 Na 1.98

Calculated values
ρ, g/cm³: 4.81
Total magnetic moment, μB per cell: 6.0
Total energy, eV per atom: -12.0337
Formation energy (no corrections), eV per atom: 1.319

A plane-wave DFT calculation with meta-GGA SCAN was carried out for a PBEsol-optimized structure of RbNaCuMo2.

Lattice parameters (Å, degrees): 4.6951 4.6951 4.8435 90.00 90.00 90.00
Closest atoms and distances in Å follow each position.
Element x y z (fractional)
Rb1 0.0000 0.0000 0.0000  4 Mo 2.35, 2 Na 2.42
Na1 0.0000 0.0000 0.5000  2 Rb 2.42
Cu1 0.5000 0.5000 0.5000  4 Na 3.32, 8 Mo 3.37
Mo1 0.0000 0.5000 0.0000  2 Rb 2.35
Mo2 0.5000 0.0000 0.0000  2 Rb 2.35

Calculated values
Calculated formation energy, meV/atom: 3029
ρ, g/cm³: 5.66
Total magnetic moment, μB per cell: 2.6
Total energy, eV per atom: -18.9554

A plane-wave DFT calculation with meta-GGA SCAN was carried out for a PBEsol-optimized structure of Cu2NiMo.

Lattice parameters (Å, degrees): 2.5020 3.9596 5.0464 90.00 103.74 90.00
Closest atoms and distances in Å follow each position.
Element x y z (fractional)
Cu1 0.0000 0.0000 0.0000  6 Cu 2.50-2.56, 3 Ni 2.51-2.71, 2 Mo 2.78
Cu2 0.3930 0.5000 0.7955  2 Ni 2.42, 6 Cu 2.50-2.56, 3 Mo 2.52-2.69
Ni1 0.2587 0.0000 0.5124  5 Cu 2.42-2.71, 2 Ni 2.50, 4 Mo 2.54
Mo1 0.6622 0.5000 0.3104  2 Mo 2.50, 5 Cu 2.52-2.78, 4 Ni 2.54

Calculated values
Calculated formation energy, meV/atom: 173
ρ, g/cm³: 9.63
Total magnetic moment, μB per cell: 0.0
Total energy, eV per atom: -20.1916

A plane-wave DFT calculation with meta-GGA SCAN was carried out for a PBEsol-optimized structure of Cu2NiMo.

Lattice parameters (Å, degrees): 2.5813 2.5813 7.2210 90.00 90.00 90.00
Closest atoms and distances in Å follow each position.
Element x y z (fractional)
Cu1 0.0000 0.0000 0.0000  4 Ni 2.48, 8 Cu 2.50-2.58
Cu2 0.5000 0.5000 0.2370  8 Cu 2.50-2.58, 4 Mo 2.71
Ni1 0.5000 0.5000 0.7683  4 Cu 2.48, 4 Ni 2.58, 4 Mo 2.59
Mo1 0.0000 0.0000 0.5139  4 Mo 2.58, 4 Ni 2.59, 4 Cu 2.71

Calculated values
Calculated formation energy, meV/atom: 87
ρ, g/cm³: 9.72
Total magnetic moment, μB per cell: 0.0
Total energy, eV per atom: -20.2773

A plane-wave DFT calculation with meta-GGA SCAN was carried out for a PBEsol-optimized structure of CuNiMo.

Lattice parameters (Å, degrees): 3.8940 3.8940 3.8940 60.00 60.00 60.00
Closest atoms and distances in Å follow each position.
Element x y z (fractional)
Cu1 0.0000 0.0000 0.0000  4 Mo 2.38, 4 Ni 2.38
Ni1 0.7500 0.7500 0.7500  4 Cu 2.38
Mo1 0.2500 0.2500 0.2500  4 Cu 2.38

Calculated values
Calculated formation energy, meV/atom: 775
ρ, g/cm³: 8.68
Total magnetic moment, μB per cell: 0.0
Total energy, eV per atom: -21.3108

A plane-wave DFT calculation with meta-GGA SCAN was carried out for a PBEsol-optimized structure of CuNiMo.

Lattice parameters (Å, degrees): 4.0993 4.0993 2.4981 90.00 90.00 120.00
Closest atoms and distances in Å follow each position.
Element x y z (fractional)
Cu1 0.0000 0.0000 0.0000  3 Ni 2.37, 2 Cu 2.50
Ni1 0.6667 0.3333 0.0000  3 Cu 2.37, 2 Ni 2.50
Mo1 0.3333 0.6667 0.5000  2 Mo 2.50, 6 Cu 2.68, 6 Ni 2.68

Calculated values
Calculated formation energy, meV/atom: 60
ρ, g/cm³: 9.97
Total magnetic moment, μB per cell: 0.0
Total energy, eV per atom: -22.0256

A plane-wave DFT calculation with meta-GGA SCAN was carried out for a PBEsol-optimized structure of CuNiMo3.

Lattice parameters (Å, degrees): 4.3827 4.3827 4.3827 90.00 90.00 90.00
Closest atoms and distances in Å follow each position.
Element x y z (fractional)
Cu1 0.0000 0.0000 0.0000  12 Mo 3.10
Ni1 0.5000 0.5000 0.5000  6 Mo 2.19
Mo1 0.0000 0.5000 0.5000  2 Ni 2.19
Mo2 0.5000 0.0000 0.5000  2 Ni 2.19
Mo3 0.5000 0.5000 0.0000  2 Ni 2.19

Calculated values
Calculated formation energy, meV/atom: 1567
ρ, g/cm³: 8.09
Total magnetic moment, μB per cell: 0.0
Total energy, eV per atom: -25.6389

A plane-wave DFT calculation with meta-GGA SCAN was carried out for a PBEsol-optimized structure of Cu2NiMo.

Lattice parameters (Å, degrees): 4.2954 4.2954 4.2954 127.62 127.62 77.24
Closest atoms and distances in Å follow each position.
Element x y z (fractional)
Cu1 0.2500 0.7500 0.5000  4 Mo 2.53, 4 Ni 2.53, 4 Cu 2.68
Cu2 0.7500 0.2500 0.5000  4 Mo 2.53, 4 Ni 2.53, 4 Cu 2.68
Ni1 0.0000 0.0000 0.0000  8 Cu 2.53, 4 Mo 2.68
Mo1 0.5000 0.5000 0.0000  8 Cu 2.53, 4 Ni 2.68

Calculated values
Calculated formation energy, meV/atom: 311
ρ, g/cm³: 9.70
Total magnetic moment, μB per cell: 0.0
Total energy, eV per atom: -20.0537

Question: Number 5 is which compound?
Answer: NaCuMoO2

Please write out number 11 again, unchanged.
A plane-wave DFT calculation with meta-GGA SCAN was carried out for a PBEsol-optimized structure of CuNiMo3.

Lattice parameters (Å, degrees): 4.3827 4.3827 4.3827 90.00 90.00 90.00
Closest atoms and distances in Å follow each position.
Element x y z (fractional)
Cu1 0.0000 0.0000 0.0000  12 Mo 3.10
Ni1 0.5000 0.5000 0.5000  6 Mo 2.19
Mo1 0.0000 0.5000 0.5000  2 Ni 2.19
Mo2 0.5000 0.0000 0.5000  2 Ni 2.19
Mo3 0.5000 0.5000 0.0000  2 Ni 2.19

Calculated values
Calculated formation energy, meV/atom: 1567
ρ, g/cm³: 8.09
Total magnetic moment, μB per cell: 0.0
Total energy, eV per atom: -25.6389

Question: Look up the total magnetic moment of the second one.
Answer: 3.4 μB per cell